1.
Cd2HgB2Rh5 | GGA-PBE | optimized geometry

```
20
Lattice="9.927 0.000 0.000 0.000 9.927 0.000 0.000 0.000 2.938" Properties=species:S:1:pos:R:3 pbc="T T T"
Cd 1.781 3.183 0.000
Cd 3.183 8.146 0.000
Cd 6.744 1.781 0.000
Cd 8.146 6.744 0.000
Hg 0.000 0.000 0.000
Hg 4.963 4.963 0.000
B 1.210 6.173 0.000
B 3.753 1.210 0.000
B 6.173 8.717 0.000
B 8.717 3.753 0.000
Rh 0.000 4.963 1.469
Rh 0.686 7.635 1.469
Rh 2.292 0.686 1.469
Rh 2.672 5.650 1.469
Rh 4.277 2.672 1.469
Rh 4.963 0.000 1.469
Rh 5.650 7.255 1.469
Rh 7.255 4.277 1.469
Rh 7.635 9.240 1.469
Rh 9.240 2.292 1.469
```

Calculated values
The value obtained for the calculated formation energy is -255.0 meV per atom. The calculation puts the spin magnetization at 0.00 μB/cell. The calculated volume is 14.5 A^3/atom. As for the total energy: -5.479 eV/atom.


2.
AcHo4Pt3O12 | GGA-PBE | optimized geometry

```
20
Lattice="-4.120 4.120 4.120 4.120 -4.120 4.120 4.120 4.120 -4.120" Properties=species:S:1:pos:R:3 pbc="T T T"
Ac 0.000 0.000 0.000
Ho 2.060 2.060 -2.060
Ho 2.060 -2.060 2.060
Ho -2.060 2.060 2.060
Ho 2.060 2.060 2.060
Pt 4.120 0.000 0.000
Pt 0.000 4.120 0.000
Pt 0.000 0.000 4.120
O 4.120 2.841 -1.576
O 2.544 0.000 1.279
O 5.696 0.000 1.279
O 1.279 2.544 0.000
O 2.841 -1.576 4.120
O 0.000 1.279 2.544
O 4.120 2.841 1.576
O 1.279 5.696 0.000
O 2.841 1.576 4.120
O -1.576 4.120 2.841
O 1.576 4.120 2.841
O 0.000 1.279 5.696
```

Calculated values
The calculation puts the spin magnetization at 2.95 μB/cell. The formation energy (no corrections) comes out at -2.276 eV/atom. The calculated volume is 14.0 A^3/atom. As for the total energy: -7.278 eV/atom.